*1*
A relaxed structure of KTaAu2, computed with PBE.

Unit cell a=5.4324 b=5.4324 c=2.8000 alpha=90.02 beta=90.02 gamma=90.11
Fractional coordinates of all 4 atoms:
Au1 0.0000 0.0000 0.0000
Au2 0.5000 0.5000 0.0000
K1 0.5000 0.0000 0.5000
Ta1 0.0000 0.5000 0.5000

- ρ (g/cm3) = 12.34

*2*
A relaxed structure of KTaAu2, computed with PBE.

Unit cell a=2.9651 b=2.9651 c=9.9802 alpha=90.00 beta=90.00 gamma=90.00
Fractional coordinates of all 4 atoms:
Au1 0.0000 0.0000 0.0012
Au2 0.5000 0.5000 0.2160
K1 0.0000 0.0000 0.4777
Ta1 0.5000 0.5000 0.8050

- ρ (g/cm3) = 11.62

*3*
A relaxed structure of KTaAu2, computed with PBE.

Unit cell a=5.7817 b=5.7817 c=5.7817 alpha=138.16 beta=138.16 gamma=60.66
Each line ends with the local moment (μB).
Fractional coordinates of all 4 atoms:
Au1 0.0000 0.0000 0.0000  0.04
Au2 0.2500 0.7500 0.5000  0.05
K1 0.5000 0.5000 0.0000  0.02
Ta1 0.7500 0.2500 0.5000  0.76

- ρ (g/cm3) = 11.98

Stability ranking, top entry: *1*; the second entry is 0.190 eV/atom less favorable.

*1*
A relaxed structure of KTaAu2, computed with PBE.

Unit cell a=10.5441 b=10.5441 c=10.5441 alpha=16.78 beta=16.78 gamma=16.78
Fractional coordinates of all 4 atoms:
Au1 0.0107 0.0107 0.0107
Au2 0.4893 0.4893 0.4893
K1 0.2500 0.2500 0.2500
Ta1 0.7500 0.7500 0.7500

- ρ (g/cm3) = 11.96

*2*
A relaxed structure of KTaAu2, computed with PBE.

Unit cell a=6.5633 b=6.5633 c=6.5633 alpha=155.14 beta=133.10 gamma=53.80
Fractional coordinates of all 4 atoms:
Au1 0.9932 0.9932 0.0000
Au2 0.2262 0.7262 0.5000
K1 0.4968 0.4968 0.0000
Ta1 0.7838 0.2838 0.5000

- ρ (g/cm3) = 11.80

*3*
A relaxed structure of KTaAu2, computed with PBE.

Unit cell a=5.9169 b=5.9169 c=5.3037 alpha=89.04 beta=89.04 gamma=27.23
Fractional coordinates of all 4 atoms:
Au1 0.0309 0.0309 0.8684
Au2 0.2303 0.2303 0.3811
K1 0.4820 0.4820 0.3699
Ta1 0.7568 0.7568 0.8807

- ρ (g/cm3) = 12.00

*4*
A relaxed structure of KTaAu2, computed with PBE.

Unit cell a=7.8490 b=7.8490 c=6.6438 alpha=53.79 beta=53.79 gamma=90.00
Each line ends with the local moment (μB).
Fractional coordinates of all 8 atoms:
K1 0.5000 0.5000 0.0000  0.02
K2 0.2500 0.7500 0.5000  0.02
Au1 0.6927 0.1250 0.2500  0.09
Au2 0.0573 0.6250 0.2500  0.08
Au3 0.3750 0.3073 0.7500  0.09
Au4 0.8750 0.9427 0.7500  0.08
Ta1 0.0000 0.0000 0.0000  0.87
Ta2 0.7500 0.2500 0.5000  0.87

- ρ (g/cm3) = 9.06

Stability ranking, top entry: *3*; the second entry is 0.036 eV/atom less favorable.

*1*
A relaxed structure of KTaAu2, computed with PBE.

Unit cell a=2.7806 b=4.9222 c=7.5154 alpha=90.00 beta=90.00 gamma=90.00
Fractional coordinates of all 4 atoms:
Au1 0.0000 0.0000 0.8871
Au2 0.5000 0.5000 0.2450
K1 0.0000 0.0000 0.4728
Ta1 0.5000 0.5000 0.8951

- ρ (g/cm3) = 9.91

*2*
A relaxed structure of KTaAu2, computed with PBE.

Unit cell a=4.5752 b=4.5752 c=7.7876 alpha=85.54 beta=85.54 gamma=36.19
Fractional coordinates of all 4 atoms:
Au1 0.0060 0.0060 0.9327
Au2 0.4940 0.4940 0.5673
K1 0.2500 0.2500 0.2500
Ta1 0.7500 0.7500 0.7500

- ρ (g/cm3) = 10.63

*3*
A relaxed structure of KTaAu2, computed with PBE.

Unit cell a=3.1642 b=3.1642 c=8.7832 alpha=90.00 beta=90.00 gamma=90.00
Fractional coordinates of all 4 atoms:
Au1 0.0000 0.0000 0.9488
Au2 0.0000 0.0000 0.5512
K1 0.5000 0.5000 0.2500
Ta1 0.5000 0.5000 0.7500

- ρ (g/cm3) = 11.59

Stability ranking, top entry: *3*; the second entry is 0.155 eV/atom less favorable.

*1*
A relaxed structure of K2TaAu, computed with PBE.

Unit cell a=4.2899 b=3.0279 c=10.8641 alpha=74.10 beta=90.00 gamma=90.00
Fractional coordinates of all 4 atoms:
Au1 0.5000 0.8305 0.6719
K1 0.0000 0.0808 0.9148
K2 0.5000 0.1771 0.3233
Ta1 0.0000 0.4116 0.5900

- ρ (g/cm3) = 5.58

*2*
A relaxed structure of K2TaAu, computed with PBE.

Unit cell a=11.9803 b=11.9803 c=11.9803 alpha=15.04 beta=15.04 gamma=15.04
Each line ends with the local moment (μB).
Fractional coordinates of all 4 atoms:
Au1 0.7500 0.7500 0.7500  0.00
K1 0.0059 0.0059 0.0059  0.01
K2 0.4941 0.4941 0.4941  0.01
Ta1 0.2500 0.2500 0.2500  0.18

- ρ (g/cm3) = 7.51

*3*
A relaxed structure of K2TaAu, computed with PBE.

Unit cell a=4.8266 b=4.8266 c=10.2240 alpha=78.11 beta=78.11 gamma=43.38
Each line ends with the local moment (μB).
Fractional coordinates of all 4 atoms:
Au1 0.2624 0.2624 0.3752  0.01
K1 0.9152 0.9152 0.0894  0.00
K2 0.7711 0.7711 0.6605  0.00
Ta1 0.5513 0.5513 0.3749  0.55

- ρ (g/cm3) = 4.75

Stability ranking, top entry: *1*; the second entry is 0.079 eV/atom less favorable.

*1*
A relaxed structure of KTc3Au, computed with PBE.

Unit cell a=4.4870 b=4.4870 c=4.4870 alpha=90.00 beta=90.00 gamma=90.00
Fractional coordinates of all 5 atoms:
K1 0.0000 0.0000 0.0000
Au1 0.5000 0.5000 0.5000
Tc1 0.0000 0.5000 0.0000
Tc2 0.0000 0.0000 0.5000
Tc3 0.5000 0.0000 0.0000

- ρ (g/cm3) = 9.74

*2*
A relaxed structure of KTc3Au, computed with PBE.

Unit cell a=5.1297 b=5.1297 c=5.1297 alpha=90.00 beta=90.00 gamma=90.00
Each line ends with the local moment (μB).
Fractional coordinates of all 5 atoms:
K1 0.5000 0.5000 0.5000  0.01
Au1 0.0000 0.0000 0.0000  0.26
Tc1 0.0000 0.5000 0.0000  2.82
Tc2 0.0000 0.0000 0.5000  3.14
Tc3 0.5000 0.0000 0.0000  2.19

- ρ (g/cm3) = 6.52

Stability ranking, top entry: *2*; the second entry is 0.915 eV/atom less favorable.

*1*
A relaxed structure of K4TeAu, computed with PBE.

Unit cell a=6.8565 b=6.8565 c=6.8565 alpha=60.00 beta=60.00 gamma=60.00
Fractional coordinates of all 6 atoms:
K1 0.8735 0.3755 0.3755
K2 0.3755 0.3755 0.8735
K3 0.3755 0.8735 0.3755
K4 0.3755 0.3755 0.3755
Te1 0.7500 0.7500 0.7500
Au1 0.0000 0.0000 0.0000

- ρ (g/cm3) = 3.50

*2*
A relaxed structure of K4TeAu, computed with PBE.

Unit cell a=7.8745 b=9.0164 c=9.3901 alpha=113.76 beta=109.32 gamma=100.61
Fractional coordinates of all 12 atoms:
K1 0.0065 0.2467 0.8902
K2 0.7792 0.6973 0.6398
K3 0.3837 0.6435 0.8902
K4 0.3606 0.9425 0.6398
K5 0.6394 0.0575 0.3602
K6 0.6163 0.3565 0.1098
K7 0.2208 0.3027 0.3602
K8 0.9935 0.7533 0.1098
Te1 0.3830 0.6330 0.2661
Te2 0.6170 0.3670 0.7339
Au1 0.2435 0.9935 0.9871
Au2 0.7565 0.0065 0.0129

- ρ (g/cm3) = 2.98

Stability ranking, top entry: *2*; the second entry is 0.525 eV/atom less favorable.